Material: NaSr3Pd
Method: DFT, GGA-PBE
State: relaxed

Unit cell a=5.1719 b=5.1719 c=20.7596 alpha=90.00 beta=90.00 gamma=120.00
Last column: nearest neighbours and their distance in Å.
Fractional positions:
Na 0.0000 0.0000 0.0000  6 Sr 3.71
Na 0.0000 0.0000 0.5000  6 Sr 3.71
Sr 0.0000 0.0000 0.2500  3 Pd 2.99
Sr 0.0000 0.0000 0.7500  3 Pd 2.99
Sr 0.3333 0.6667 0.1063  1 Pd 2.98
Sr 0.3333 0.6667 0.3937  1 Pd 2.98
Sr 0.6667 0.3333 0.6063  1 Pd 2.98
Sr 0.6667 0.3333 0.8937  1 Pd 2.98
Pd 0.3333 0.6667 0.2500  5 Sr 2.98-2.99
Pd 0.6667 0.3333 0.7500  5 Sr 2.98-2.99

Properties
The formation energy comes out at -0.0442 eV/atom.